ZrTlHg2: optimized geometry, PBE.

abc: 3.3171 3.3171 30.9803
angles: 90.00 90.00 120.00
Element x y z (fractional)
Zr 0.0000 0.0000 0.0000
Zr 0.3333 0.6667 0.6667
Zr 0.6667 0.3333 0.3333
Tl 0.0000 0.0000 0.5000
Tl 0.3333 0.6667 0.1667
Tl 0.6667 0.3333 0.8333
Hg 0.0000 0.0000 0.2552
Hg 0.0000 0.0000 0.7448
Hg 0.3333 0.6667 0.4115
Hg 0.3333 0.6667 0.9219
Hg 0.6667 0.3333 0.0781
Hg 0.6667 0.3333 0.5885

Output
- Energy relative to the elements: 0.03 eV per atom

ThPRu: optimized geometry, PBE.

abc: 3.9925 4.1911 7.1481
angles: 90.00 90.00 90.00
Element x y z (fractional)
Th 0.0000 0.0000 0.0000
Th 0.0000 0.5000 0.5000
P 0.5000 0.0000 0.3316
P 0.5000 0.0000 0.6684
Ru 0.5000 0.5000 0.1863
Ru 0.5000 0.5000 0.8137

Output
- Energy relative to the elements: -0.93 eV per atom

Na5LiSb2: optimized geometry, PBE.

abc: 5.4140 5.4140 18.9531
angles: 90.00 90.00 120.00
Element x y z (fractional)
Na 0.0000 0.0000 0.1316
Na 0.0000 0.0000 0.3684
Na 0.0000 0.0000 0.6316
Na 0.0000 0.0000 0.8684
Na 0.3333 0.6667 0.0525
Na 0.3333 0.6667 0.2500
Na 0.3333 0.6667 0.4475
Na 0.6667 0.3333 0.5525
Na 0.6667 0.3333 0.7500
Na 0.6667 0.3333 0.9475
Li 0.3333 0.6667 0.7500
Li 0.6667 0.3333 0.2500
Sb 0.3333 0.6667 0.6155
Sb 0.3333 0.6667 0.8845
Sb 0.6667 0.3333 0.1155
Sb 0.6667 0.3333 0.3845

Output
- Formation energy (no corrections): -3.1 eV per formula unit

Cs2NaCaI6: optimized geometry, PBE.

abc: 8.7922 8.7922 8.7922
angles: 60.00 60.00 60.00
Element x y z (fractional)
Cs 0.2500 0.2500 0.2500
Cs 0.7500 0.7500 0.7500
Na 0.0000 0.0000 0.0000
Ca 0.5000 0.5000 0.5000
I 0.2514 0.2514 0.7486
I 0.2514 0.7486 0.2514
I 0.2514 0.7486 0.7486
I 0.7486 0.2514 0.2514
I 0.7486 0.2514 0.7486
I 0.7486 0.7486 0.2514

Output
- Formation energy (no corrections): -12.9 eV per formula unit

LaTbSe2: optimized geometry, PBE.

abc: 4.0819 4.0819 22.1320
angles: 90.00 90.00 120.00
Element x y z (fractional)
La 0.0000 0.0000 0.0000
La 0.3333 0.6667 0.6667
La 0.6667 0.3333 0.3333
Tb 0.0000 0.0000 0.1772
Tb 0.3333 0.6667 0.8439
Tb 0.6667 0.3333 0.5105
Se 0.0000 0.0000 0.4260
Se 0.0000 0.0000 0.5849
Se 0.3333 0.6667 0.0927
Se 0.3333 0.6667 0.2515
Se 0.6667 0.3333 0.7593
Se 0.6667 0.3333 0.9182

Output
- Energy above the lowest structure with this stoichiometry: 0.0608 eV/atom
- Formation energy (no corrections): -7.3 eV per formula unit

Ca2Y2Pt3: optimized geometry, PBE.

abc: 8.6075 8.6075 8.6075
angles: 33.04 33.04 33.04
Element x y z (fractional)
Ca 0.1265 0.1265 0.1265
Ca 0.8735 0.8735 0.8735
Y 0.3761 0.3761 0.3761
Y 0.6239 0.6239 0.6239
Pt 0.0000 0.0000 0.0000
Pt 0.2552 0.2552 0.2552
Pt 0.7448 0.7448 0.7448

Output
- Energy relative to the elements: -1.01 eV per atom

Tb4AlI5: optimized geometry, PBE.

abc: 9.9024 9.9024 8.9179
angles: 102.15 102.15 24.62
Element x y z (fractional)
Tb 0.0002 0.0002 0.2204
Tb 0.9998 0.9998 0.7796
Tb 0.3515 0.3515 0.9238
Tb 0.6485 0.6485 0.0762
Al 0.5000 0.5000 0.0000
I 0.1669 0.1669 0.3374
I 0.1732 0.1732 0.8312
I 0.5000 0.5000 0.5000
I 0.8268 0.8268 0.1688
I 0.8331 0.8331 0.6626

Output
- Energy above the lowest structure with this stoichiometry: 0.0000 eV/atom
- Formation energy (no corrections): -10.1 eV per formula unit

Na2NiSn2: optimized geometry, PBE.

abc: 6.7846 6.7846 5.2901
angles: 90.00 90.00 90.00
Element x y z (fractional)
Na 0.1706 0.3294 0.0000
Na 0.3294 0.8294 0.0000
Na 0.6706 0.1706 0.0000
Na 0.8294 0.6706 0.0000
Ni 0.0000 0.0000 0.5000
Ni 0.5000 0.5000 0.5000
Sn 0.1550 0.6550 0.5000
Sn 0.3450 0.1550 0.5000
Sn 0.6550 0.8450 0.5000
Sn 0.8450 0.3450 0.5000

Output
- Energy relative to the elements: -0.09 eV per atom

CoSiAs2: optimized geometry, PBE.

abc: 3.5414 3.5414 17.6069
angles: 90.00 90.00 120.00
Element x y z (fractional)
Co 0.0000 0.0000 0.0000
Co 0.3333 0.6667 0.6667
Co 0.6667 0.3333 0.3333
Si 0.0000 0.0000 0.5000
Si 0.3333 0.6667 0.1667
Si 0.6667 0.3333 0.8333
As 0.0000 0.0000 0.2587
As 0.0000 0.0000 0.7413
As 0.3333 0.6667 0.4080
As 0.3333 0.6667 0.9253
As 0.6667 0.3333 0.0747
As 0.6667 0.3333 0.5920

Output
- Formation energy (no corrections): 0.6 eV per formula unit

Tb2CeTm3Se6: optimized geometry, PBE.

abc: 9.1373 9.1373 8.2239
angles: 103.77 103.77 25.55
Element x y z (fractional)
Tb 0.1641 0.1641 0.3286
Tb 0.8359 0.8359 0.6714
Ce 0.5000 0.5000 0.0000
Tm 0.1648 0.1648 0.8344
Tm 0.5000 0.5000 0.5000
Tm 0.8352 0.8352 0.1656
Se 0.0018 0.0018 0.7387
Se 0.3282 0.3282 0.9195
Se 0.3337 0.3337 0.4124
Se 0.6663 0.6663 0.5876
Se 0.6718 0.6718 0.0805
Se 0.9982 0.9982 0.2613

Output
- Formation energy (no corrections): -20.8 eV per formula unit

CdTeIr: optimized geometry, PBE.

abc: 3.0559 3.5277 12.3666
angles: 90.00 90.00 90.00
Element x y z (fractional)
Cd 0.0000 0.0000 0.0000
Cd 0.5000 0.5000 0.5000
Te 0.0000 0.0000 0.7349
Te 0.5000 0.5000 0.2349
Ir 0.0000 0.0000 0.3506
Ir 0.5000 0.5000 0.8506

Output
- Energy above the lowest structure with this stoichiometry: 0.1560 eV/atom
- Formation energy (no corrections): 0.6 eV per formula unit

Ta2GaC: optimized geometry, PBE.

abc: 6.0873 6.0873 6.0873
angles: 90.00 90.00 90.00
Element x y z (fractional)
Ta 0.2500 0.2500 0.2500
Ta 0.2500 0.2500 0.7500
Ta 0.2500 0.7500 0.2500
Ta 0.2500 0.7500 0.7500
Ta 0.7500 0.2500 0.2500
Ta 0.7500 0.2500 0.7500
Ta 0.7500 0.7500 0.2500
Ta 0.7500 0.7500 0.7500
Ga 0.0000 0.0000 0.0000
Ga 0.0000 0.5000 0.5000
Ga 0.5000 0.0000 0.5000
Ga 0.5000 0.5000 0.0000
C 0.0000 0.0000 0.5000
C 0.0000 0.5000 0.0000
C 0.5000 0.0000 0.0000
C 0.5000 0.5000 0.5000

Output
- Energy above the lowest structure with this stoichiometry: 1.3383 eV/atom
- Energy relative to the elements: 0.82 eV per atom